No. 1
# AcSmTm2Se4 | Alexandria via LeMat-Bulk | PBE | relaxed
data_AcSmTm2Se4
_chemical_formula_sum 'Ac1 Sm1 Tm2 Se4'
_symmetry_space_group_name_H-M 'P 1 2/m 1'
_symmetry_Int_Tables_number 10
_symmetry_space_group_name_Hall '-P 2y'
_cell_length_a 7.059
_cell_length_b 4.060
_cell_length_c 7.550
_cell_angle_alpha 90.00
_cell_angle_beta 108.08
_cell_angle_gamma 90.00
loop_
_atom_site_label
_atom_site_type_symbol
_atom_site_fract_x
_atom_site_fract_y
_atom_site_fract_z
_atom_site_occupancy
Ac1 Ac 0.000 0.000 0.000 1
Sm1 Sm 0.500 0.500 0.000 1
Tm1 Tm 0.000 0.500 0.500 1
Tm2 Tm 0.500 0.000 0.500 1
Se1 Se 0.249 0.000 0.726 1
Se2 Se 0.267 0.500 0.279 1
# - E_tot: -5.703 eV per atom
# - V: 25.7 Å³ per atom

=====

No. 2
# Ac2SmTmSe4 | Alexandria via LeMat-Bulk | PBE | relaxed
data_Ac2SmTmSe4
_chemical_formula_sum 'Ac2 Sm1 Tm1 Se4'
_symmetry_space_group_name_H-M 'P 1 2/m 1'
_symmetry_Int_Tables_number 10
_symmetry_space_group_name_Hall '-P 2y'
_cell_length_a 7.250
_cell_length_b 4.157
_cell_length_c 7.743
_cell_angle_alpha 90.00
_cell_angle_beta 107.99
_cell_angle_gamma 90.00
loop_
_atom_site_label
_atom_site_type_symbol
_atom_site_fract_x
_atom_site_fract_y
_atom_site_fract_z
_atom_site_occupancy
Ac1 Ac 0.000 0.000 0.000 1
Ac2 Ac 0.500 0.500 0.000 1
Sm1 Sm 0.000 0.500 0.500 1
Tm1 Tm 0.500 0.000 0.500 1
Se1 Se 0.248 0.000 0.723 1
Se2 Se 0.268 0.500 0.282 1
# - E_tot: -5.712 eV per atom
# - V: 27.7 Å³ per atom

=====

No. 3
# Ac2SmTmSe5 | Alexandria via LeMat-Bulk | PBE | relaxed
data_Ac2SmTmSe5
_chemical_formula_sum 'Ac8 Sm4 Tm4 Se20'
_symmetry_space_group_name_H-M 'C m c 21'
_symmetry_Int_Tables_number 36
_symmetry_space_group_name_Hall 'C 2c -2'
_cell_length_a 4.212
_cell_length_b 17.820
_cell_length_c 14.161
_cell_angle_alpha 90.00
_cell_angle_beta 90.00
_cell_angle_gamma 90.00
loop_
_atom_site_label
_atom_site_type_symbol
_atom_site_fract_x
_atom_site_fract_y
_atom_site_fract_z
_atom_site_occupancy
Ac1 Ac 0.000 0.089 0.000 1
Ac2 Ac 0.000 0.138 0.659 1
Sm1 Sm 0.000 0.454 0.805 1
Tm1 Tm 0.000 0.225 0.384 1
Se1 Se 0.000 0.075 0.436 1
Se2 Se 0.000 0.262 0.027 1
Se3 Se 0.000 0.299 0.750 1
Se4 Se 0.000 0.379 0.337 1
Se5 Se 0.000 0.495 0.118 1
# - E_tot: -5.686 eV per atom
# - V: 29.5 Å³ per atom

=====

No. 4
# Ac3Sm3TmSe8 | Alexandria via LeMat-Bulk | PBE | relaxed
data_Ac3Sm3TmSe8
_chemical_formula_sum 'Ac9 Sm9 Tm3 Se24'
_symmetry_space_group_name_H-M 'R -3 m'
_symmetry_Int_Tables_number 166
_symmetry_space_group_name_Hall '-R 3 2"'
_cell_length_a 8.4843
_cell_length_b 8.4843
_cell_length_c 21.4977
_cell_angle_alpha 90.00
_cell_angle_beta 90.00
_cell_angle_gamma 120.00
loop_
_atom_site_label
_atom_site_type_symbol
_atom_site_fract_x
_atom_site_fract_y
_atom_site_fract_z
_atom_site_occupancy
Ac1 Ac 0.0000 0.5000 0.0000 1
Sm1 Sm 0.0000 0.5000 0.5000 1
Tm1 Tm 0.0000 0.0000 0.5000 1
Se1 Se 0.0000 0.0000 0.2435 1
Se2 Se 0.0064 0.5032 0.2423 1
# - E_tot: -5.791 eV per atom
# - V: 29.8 Å³ per atom

=====

No. 5
# Ac3Sm3YSe8 | Alexandria via LeMat-Bulk | PBE | relaxed
data_Ac3Sm3YSe8
_chemical_formula_sum 'Ac9 Sm9 Y3 Se24'
_symmetry_space_group_name_H-M 'R -3 m'
_symmetry_Int_Tables_number 166
_symmetry_space_group_name_Hall '-R 3 2"'
_cell_length_a 8.4919
_cell_length_b 8.4919
_cell_length_c 21.4931
_cell_angle_alpha 90.00
_cell_angle_beta 90.00
_cell_angle_gamma 120.00
loop_
_atom_site_label
_atom_site_type_symbol
_atom_site_fract_x
_atom_site_fract_y
_atom_site_fract_z
_atom_site_occupancy
Ac1 Ac 0.0000 0.5000 0.0000 1
Sm1 Sm 0.0000 0.5000 0.5000 1
Y1 Y 0.0000 0.0000 0.5000 1
Se1 Se 0.0000 0.0000 0.2435 1
Se2 Se 0.0016 0.5008 0.2434 1
# - E_tot: -5.934 eV per atom
# - V: 29.8 Å³ per atom

=====

No. 6
# Ac3SmY2Se6 | Alexandria via LeMat-Bulk | PBE | relaxed
data_Ac3SmY2Se6
_chemical_formula_sum 'Ac6 Sm2 Y4 Se12'
_symmetry_space_group_name_H-M 'C 1 2/m 1'
_symmetry_Int_Tables_number 12
_symmetry_space_group_name_Hall '-C 2y'
_cell_length_a 7.286
_cell_length_b 12.660
_cell_length_c 7.658
_cell_angle_alpha 90.00
_cell_angle_beta 108.61
_cell_angle_gamma 90.00
loop_
_atom_site_label
_atom_site_type_symbol
_atom_site_fract_x
_atom_site_fract_y
_atom_site_fract_z
_atom_site_occupancy
Ac1 Ac 0.000 0.000 0.000 1
Ac2 Ac 0.000 0.336 0.000 1
Sm1 Sm 0.000 0.500 0.500 1
Y1 Y 0.000 0.167 0.500 1
Se1 Se 0.235 0.000 0.722 1
Se2 Se 0.244 0.331 0.724 1
# - E_tot: -6.059 eV per atom
# - V: 27.9 Å³ per atom

=====

No. 7
# Ac4SmY3Se8 | Alexandria via LeMat-Bulk | PBE | relaxed
data_Ac4SmY3Se8
_chemical_formula_sum 'Ac12 Sm3 Y9 Se24'
_symmetry_space_group_name_H-M 'R -3 m'
_symmetry_Int_Tables_number 166
_symmetry_space_group_name_Hall '-R 3 2"'
_cell_length_a 8.4058
_cell_length_b 8.4058
_cell_length_c 21.8396
_cell_angle_alpha 90.00
_cell_angle_beta 90.00
_cell_angle_gamma 120.00
loop_
_atom_site_label
_atom_site_type_symbol
_atom_site_fract_x
_atom_site_fract_y
_atom_site_fract_z
_atom_site_occupancy
Ac1 Ac 0.0000 0.0000 0.0000 1
Ac2 Ac 0.0000 0.5000 0.0000 1
Sm1 Sm 0.0000 0.0000 0.5000 1
Y1 Y 0.0000 0.5000 0.5000 1
Se1 Se 0.0000 0.0000 0.2401 1
Se2 Se 0.0040 0.5020 0.7590 1
# - E_tot: -6.089 eV per atom
# - V: 27.8 Å³ per atom

=====

No. 8
# Ac2Sm3YSe6 | Alexandria via LeMat-Bulk | PBE | relaxed
data_Ac2Sm3YSe6
_chemical_formula_sum 'Ac4 Sm6 Y2 Se12'
_symmetry_space_group_name_H-M 'C 1 2/m 1'
_symmetry_Int_Tables_number 12
_symmetry_space_group_name_Hall '-C 2y'
_cell_length_a 7.364
_cell_length_b 12.800
_cell_length_c 7.384
_cell_angle_alpha 90.00
_cell_angle_beta 109.62
_cell_angle_gamma 90.00
loop_
_atom_site_label
_atom_site_type_symbol
_atom_site_fract_x
_atom_site_fract_y
_atom_site_fract_z
_atom_site_occupancy
Ac1 Ac 0.000 0.166 0.000 1
Sm1 Sm 0.000 0.000 0.500 1
Sm2 Sm 0.000 0.326 0.500 1
Y1 Y 0.000 0.500 0.000 1
Se1 Se 0.229 0.500 0.735 1
Se2 Se 0.245 0.340 0.258 1
# - E_tot: -5.950 eV per atom
# - V: 27.3 Å³ per atom